[1]
Material: AcZrCo2H8
Method: DFT, PBE
State: relaxed

Results
As for the density of states at the Fermi level: 0.38 states/eV per atom. For the final energy, the calculation gives -56.1 eV/f.u.

Lattice parameters (Å, degrees): 4.5851 4.5851 18.9647 90.00 90.00 120.00
Space group R-3 (No. 148, hexagonal axes)
Asymmetric unit:
Ac (0.0000, 0.0000, 0.0000) x3
Zr (0.0000, 0.0000, 0.5000) x3
Co (0.0000, 0.0000, 0.2254) x6
H (0.0000, 0.0000, 0.3067) x6
H (0.0284, 0.2974, 0.8903) x18

***

[2]
Material: AcHfCo4
Method: DFT, PBE
State: relaxed

Results
As for the density of states at the Fermi level: 1.40 states/eV per atom. For the final energy, the calculation gives -42.1 eV/f.u. The calculation puts the formation energy at 0.058 eV/atom.

Lattice parameters (Å, degrees): 7.194 7.194 7.194 90.00 90.00 90.00
Space group F-43m (No. 216)
Asymmetric unit:
Ac (0.000, 0.000, 0.000) x4
Hf (0.250, 0.250, 0.250) x4
Co (0.123, 0.123, 0.623) x16

***

[3]
Material: AcHf2CoN4
Method: DFT, PBE
State: relaxed

Results
As for the density of states at the Fermi level: 0.39 states/eV per atom. For the final energy, the calculation gives -74.5 eV/f.u.

Lattice parameters (Å, degrees): 3.318 11.219 11.198 90.00 90.00 90.00
Space group Cmcm (No. 63)
Asymmetric unit:
Ac (0.000, 0.100, 0.250) x4
Hf (0.000, 0.366, 0.054) x8
Co (0.000, 0.165, 0.750) x4
N (0.000, 0.000, 0.000) x4
N (0.000, 0.262, 0.607) x8
N (0.000, 0.427, 0.250) x4

***

[4]
Material: Ac6CoHg2
Method: DFT, PBE
State: relaxed

Results
As for the density of states at the Fermi level: 1.02 states/eV per atom. For the final energy, the calculation gives -34.3 eV/f.u. The calculation puts the formation energy at -0.213 eV/atom.

Lattice parameters (Å, degrees): 7.547 7.943 13.244 90.00 122.49 90.00
Space group P2_1/c (No. 14)
Asymmetric unit:
Ac (0.134, 0.016, 0.247) x4
Ac (0.237, 0.696, 0.051) x4
Ac (0.349, 0.195, 0.049) x4
Co (0.000, 0.000, 0.000) x2
Hg (0.302, 0.087, 0.760) x4

***

[5]
Material: Ac4Co2Hg
Method: DFT, PBE
State: relaxed

Results
As for the density of states at the Fermi level: 0.90 states/eV per atom. For the final energy, the calculation gives -31.8 eV/f.u. The calculation puts the formation energy at -0.128 eV/atom.

Lattice parameters (Å, degrees): 4.263 14.301 14.522 90.00 90.00 90.00
Space group Cmcm (No. 63)
Asymmetric unit:
Ac (0.000, 0.000, 0.000) x4
Ac (0.000, 0.266, 0.108) x8
Ac (0.000, 0.429, 0.750) x4
Co (0.000, 0.370, 0.563) x8
Hg (0.000, 0.111, 0.750) x4

***

[6]
Material: Ac2CoHg
Method: DFT, PBE
State: relaxed

Results
As for the density of states at the Fermi level: 0.89 states/eV per atom. For the final energy, the calculation gives -16.1 eV/f.u. The calculation puts the formation energy at -0.127 eV/atom. Its polymorph energy (0 for the lowest one) is 0.25 eV/f.u.

Lattice parameters (Å, degrees): 3.761 3.761 8.191 90.00 90.00 90.00
Space group P4/mmm (No. 123)
Asymmetric unit:
Ac (0.000, 0.000, 0.220) x2
Co (0.500, 0.500, 0.000) x1
Hg (0.500, 0.500, 0.500) x1

***

[7]
Material: Ac6Co2Hg
Method: DFT, PBE
State: relaxed

Results
As for the density of states at the Fermi level: 0.91 states/eV per atom. For the final energy, the calculation gives -40.1 eV/f.u. The calculation puts the formation energy at -0.107 eV/atom. Its polymorph energy (0 for the lowest one) is 0.00 eV/f.u.

Lattice parameters (Å, degrees): 10.156 10.792 10.851 90.00 90.00 90.00
Space group Immm (No. 71)
Asymmetric unit:
Ac (0.000, 0.200, 0.227) x8
Ac (0.183, 0.500, 0.173) x8
Ac (0.209, 0.322, 0.500) x8
Co (0.000, 0.343, 0.000) x4
Co (0.000, 0.500, 0.392) x4
Hg (0.000, 0.000, 0.000) x2
Hg (0.000, 0.000, 0.500) x2

***

[8]
Material: Ac8Co4Hg
Method: DFT, PBE
State: relaxed

Results
As for the density of states at the Fermi level: 0.69 states/eV per atom. For the final energy, the calculation gives -62.3 eV/f.u. The calculation puts the formation energy at -0.056 eV/atom.

Lattice parameters (Å, degrees): 14.683 8.549 10.407 90.00 134.58 90.00
Space group C2/m (No. 12)
Asymmetric unit:
Ac (0.064, 0.243, 0.331) x8
Ac (0.184, 0.000, 0.155) x4
Ac (0.190, 0.500, 0.167) x4
Co (0.000, 0.253, 0.000) x4
Co (0.245, 0.500, 0.498) x4
Hg (0.000, 0.500, 0.500) x2

***

[9]
Material: Ac2CoHg
Method: DFT, PBE
State: relaxed

Results
As for the density of states at the Fermi level: 0.91 states/eV per atom. For the final energy, the calculation gives -16.3 eV/f.u. The calculation puts the formation energy at -0.164 eV/atom. Its polymorph energy (0 for the lowest one) is 0.10 eV/f.u.

Lattice parameters (Å, degrees): 7.601 5.632 11.448 90.00 90.00 90.00
Space group Pnma (No. 62)
Asymmetric unit:
Ac (0.054, 0.250, 0.224) x4
Ac (0.169, 0.250, 0.566) x4
Co (0.162, 0.750, 0.582) x4
Hg (0.175, 0.250, 0.877) x4

***

[10]
Material: Ac5Co2Hg
Method: DFT, PBE
State: relaxed

Results
As for the density of states at the Fermi level: 1.23 states/eV per atom. For the final energy, the calculation gives -35.9 eV/f.u. The calculation puts the formation energy at -0.111 eV/atom.

Lattice parameters (Å, degrees): 8.280 8.280 14.625 90.00 90.00 90.00
Space group I4/mcm (No. 140)
Asymmetric unit:
Ac (0.000, 0.000, 0.000) x4
Ac (0.160, 0.340, 0.131) x16
Co (0.138, 0.362, 0.500) x8
Hg (0.000, 0.000, 0.250) x4

***

[11]
Material: Ac8Co3Hg2
Method: DFT, PBE
State: relaxed

Results
As for the density of states at the Fermi level: 0.82 states/eV per atom. For the final energy, the calculation gives -56.4 eV/f.u. The calculation puts the formation energy at -0.120 eV/atom.

Lattice parameters (Å, degrees): 16.992 8.400 7.225 90.00 108.41 90.00
Space group C2/m (No. 12)
Asymmetric unit:
Ac (0.098, 0.245, 0.246) x8
Ac (0.100, 0.000, 0.740) x4
Ac (0.105, 0.500, 0.724) x4
Co (0.000, 0.000, 0.000) x2
Co (0.000, 0.257, 0.500) x4
Hg (0.250, 0.000, 0.514) x4

***

[12]
Material: Ac8Co2Hg3
Method: DFT, PBE
State: relaxed

Results
As for the density of states at the Fermi level: 1.05 states/eV per atom. For the final energy, the calculation gives -49.9 eV/f.u. The calculation puts the formation energy at -0.148 eV/atom.

Lattice parameters (Å, degrees): 16.719 7.932 6.981 90.00 99.63 90.00
Space group C2/m (No. 12)
Asymmetric unit:
Ac (0.085, 0.000, 0.304) x4
Ac (0.146, 0.251, 0.868) x8
Ac (0.187, 0.500, 0.394) x4
Co (0.234, 0.000, 0.165) x4
Hg (0.000, 0.320, 0.500) x4
Hg (0.000, 0.500, 0.000) x2

***

[13]
Material: Ac8CoHg2
Method: DFT, PBE
State: relaxed

Results
As for the density of states at the Fermi level: 1.19 states/eV per atom. For the final energy, the calculation gives -42.2 eV/f.u. The calculation puts the formation energy at -0.149 eV/atom.

Lattice parameters (Å, degrees): 20.221 4.102 10.216 90.00 96.65 90.00
Space group C2/m (No. 12)
Asymmetric unit:
Ac (0.007, 0.000, 0.200) x4
Ac (0.092, 0.500, 0.519) x4
Ac (0.146, 0.500, 0.015) x4
Ac (0.218, 0.000, 0.342) x4
Co (0.000, 0.500, 0.000) x2
Hg (0.168, 0.000, 0.761) x4

***

[14]
Material: Ac6Co2Hg
Method: DFT, PBE
State: relaxed

Results
As for the density of states at the Fermi level: 0.89 states/eV per atom. For the final energy, the calculation gives -40.1 eV/f.u. The calculation puts the formation energy at -0.099 eV/atom. Its polymorph energy (0 for the lowest one) is 0.07 eV/f.u.

Lattice parameters (Å, degrees): 13.249 4.214 12.393 90.00 106.73 90.00
Space group C2/m (No. 12)
Asymmetric unit:
Ac (0.031, 0.000, 0.278) x4
Ac (0.166, 0.500, 0.577) x4
Ac (0.203, 0.500, 0.123) x4
Co (0.180, 0.500, 0.341) x4
Hg (0.000, 0.000, 0.000) x2

***

[15]
Material: Ac3Co3Hg
Method: DFT, PBE
State: relaxed

Results
As for the density of states at the Fermi level: 1.81 states/eV per atom. For the final energy, the calculation gives -34.7 eV/f.u. The calculation puts the formation energy at -0.104 eV/atom.

Lattice parameters (Å, degrees): 10.4754 10.4754 4.0133 90.00 90.00 120.00
Space group P6_3/m (No. 176)
Asymmetric unit:
Ac (0.0792, 0.6995, 0.2500) x6
Co (0.0267, 0.8813, 0.7500) x6
Hg (0.3333, 0.6667, 0.7500) x2

***

[16]
Material: Ac2CoHg
Method: DFT, PBE
State: relaxed

Results
As for the density of states at the Fermi level: 1.01 states/eV per atom. For the final energy, the calculation gives -15.6 eV/f.u. The calculation puts the formation energy at -0.001 eV/atom. Its polymorph energy (0 for the lowest one) is 0.75 eV/f.u.

Lattice parameters (Å, degrees): 4.1854 4.1854 30.2485 90.00 90.00 120.00
Space group R-3m (No. 166, hexagonal axes)
Asymmetric unit:
Ac (0.0000, 0.0000, 0.1156) x6
Co (0.0000, 0.0000, 0.5000) x3
Hg (0.0000, 0.0000, 0.0000) x3

***

[17]
Material: Ac6Co3Hg
Method: DFT, PBE
State: relaxed

Results
As for the density of states at the Fermi level: 0.73 states/eV per atom. For the final energy, the calculation gives -47.1 eV/f.u. The calculation puts the formation energy at -0.086 eV/atom.

Lattice parameters (Å, degrees): 12.426 4.272 13.324 90.00 113.30 90.00
Space group P2_1/m (No. 11)
Asymmetric unit:
Ac (0.043, 0.250, 0.375) x2
Ac (0.098, 0.750, 0.938) x2
Ac (0.247, 0.750, 0.265) x2
Ac (0.254, 0.250, 0.796) x2
Ac (0.419, 0.250, 0.568) x2
Ac (0.435, 0.250, 0.108) x2
Co (0.008, 0.250, 0.783) x2
Co (0.339, 0.750, 0.951) x2
Co (0.409, 0.250, 0.339) x2
Hg (0.209, 0.750, 0.575) x2

***

[18]
Material: Ac6Co4Hg
Method: DFT, PBE
State: relaxed

Results
As for the density of states at the Fermi level: 0.69 states/eV per atom. For the final energy, the calculation gives -53.5 eV/f.u. The calculation puts the formation energy at -0.010 eV/atom.

Lattice parameters (Å, degrees): 4.251 13.970 21.728 90.00 90.00 90.00
Space group Cmcm (No. 63)
Asymmetric unit:
Ac (0.000, 0.000, 0.000) x4
Ac (0.000, 0.156, 0.250) x4
Ac (0.000, 0.267, 0.583) x8
Ac (0.000, 0.466, 0.150) x8
Co (0.000, 0.104, 0.130) x8
Co (0.000, 0.365, 0.042) x8
Hg (0.000, 0.152, 0.750) x4

***

[19]
Material: Ac3CoHg2
Method: DFT, PBE
State: relaxed

Results
As for the density of states at the Fermi level: 0.59 states/eV per atom. For the final energy, the calculation gives -21.5 eV/f.u. The calculation puts the formation energy at -0.240 eV/atom. Its polymorph energy (0 for the lowest one) is 0.12 eV/f.u.

Lattice parameters (Å, degrees): 15.999 6.245 8.207 90.00 104.83 90.00
Space group C2/c (No. 15)
Asymmetric unit:
Ac (0.000, 0.000, 0.250) x4
Ac (0.128, 0.500, 0.064) x8
Co (0.000, 0.499, 0.250) x4
Hg (0.192, 0.000, 0.096) x8